Below is a geometry-optimized Sr2AgSn3 structure, with properties calculated at the GGA-PBE level.

Cell: 4.653 4.916 8.209 Å, 90.00 90.00 90.00°
Positions (direct):
1 Sn 0.500 0.000 0.182
2 Sn 0.500 0.000 0.837
3 Sn 0.500 0.500 0.655
4 Sr 0.000 0.000 0.502
5 Sr 0.000 0.500 0.002
6 Ag 0.500 0.500 0.323

Computed properties:
VASP energy = -21.13 eV for the cell shown
Calculated density = 5.7 g/cm³
E_form = -0.484 eV/atom
E above lowest polymorph = 3.5 meV/atom